Record 1
! Ca3Ga4Pt4 PBE-GGA relaxed; values from VASP
&SYSTEM
  ibrav = 0, nat = 11, ntyp = 3
/
ATOMIC_SPECIES
Ca 40.08 Ca.upf
Ga 69.72 Ga.upf
Pt 195.08 Pt.upf
CELL_PARAMETERS angstrom
-2.0495 2.1977 12.7863
2.0495 -2.1977 12.7863
2.0495 2.1977 -12.7863
ATOMIC_POSITIONS crystal
Ca 0.0000 0.0000 0.0000
Ca 0.3555 0.8555 0.5000
Ca 0.6445 0.1445 0.5000
Ga 0.0970 0.5970 0.5000
Ga 0.2529 0.2529 0.0000
Ga 0.7471 0.7471 0.0000
Ga 0.9030 0.4030 0.5000
Pt 0.1944 0.6944 0.5000
Pt 0.4472 0.4472 0.0000
Pt 0.5528 0.5528 0.0000
Pt 0.8056 0.3056 0.5000
! DOS at the Fermi energy: 4.038 states/eV per cell
! SG: Immm
! ΔH_f (0 K): -0.851 eV per atom



Record 2
! Ca2Ga2Pt PBE-GGA relaxed; values from VASP
&SYSTEM
  ibrav = 0, nat = 5, ntyp = 3
/
ATOMIC_SPECIES
Ca 40.08 Ca.upf
Ga 69.72 Ga.upf
Pt 195.08 Pt.upf
CELL_PARAMETERS angstrom
-2.9428 2.9428 3.5809
2.9428 -2.9428 3.5809
2.9428 2.9428 -3.5809
ATOMIC_POSITIONS crystal
Ca 0.2500 0.7500 0.5000
Ca 0.7500 0.2500 0.5000
Ga 0.1605 0.1605 0.0000
Ga 0.8395 0.8395 0.0000
Pt 0.5000 0.5000 0.0000
! DOS at the Fermi energy: 1.460 states/eV per cell
! SG: I4/mmm
! ΔH_f (0 K): -0.387 eV per atom
! Offset from the most stable computed form: 346 meV per atom



Record 3
! CaGa5Pt3 PBE-GGA relaxed; values from VASP
&SYSTEM
  ibrav = 0, nat = 18, ntyp = 3
/
ATOMIC_SPECIES
Ca 40.08 Ca.upf
Ga 69.72 Ga.upf
Pt 195.08 Pt.upf
CELL_PARAMETERS angstrom
2.0080 -6.5427 0.0000
2.0080 6.5427 0.0000
0.0000 0.0000 13.0523
ATOMIC_POSITIONS crystal
Ca 0.1548 0.8452 0.7500
Ca 0.8452 0.1548 0.2500
Ga 0.0000 0.0000 0.0000
Ga 0.0000 0.0000 0.5000
Ga 0.2031 0.7969 0.0656
Ga 0.2031 0.7969 0.4344
Ga 0.4407 0.5593 0.6514
Ga 0.4407 0.5593 0.8486
Ga 0.5593 0.4407 0.1514
Ga 0.5593 0.4407 0.3486
Ga 0.7969 0.2031 0.5656
Ga 0.7969 0.2031 0.9344
Pt 0.1358 0.8642 0.2500
Pt 0.3906 0.6094 0.0480
Pt 0.3906 0.6094 0.4520
Pt 0.6094 0.3906 0.5480
Pt 0.6094 0.3906 0.9520
Pt 0.8642 0.1358 0.7500
! DOS at the Fermi energy: 4.723 states/eV per cell
! SG: Cmcm
! ΔH_f (0 K): -0.640 eV per atom



Question: What is the DOS at the Fermi energy in the first record?
Answer: 4.038 states/eV per cell